Record 1
Here is CoCu2Se after structural relaxation from Alexandria via LeMat-Bulk. Energies are from PBE-GGA.

Output
Its space-group type is R3m, No. 160. As for the crystal system: trigonal. The size of the total moment is 0.9 μB per cell.

Unit cell a=7.948 b=7.948 c=7.948 alpha=20.96 beta=20.96 gamma=20.96
Each line ends with the local moment (μB).
Fractional coordinates of all 4 atoms:
Co: 0.752 0.752 0.752  0.88
Cu: 0.003 0.003 0.003  0.01
Cu: 0.256 0.256 0.256  0.00
Se: 0.489 0.489 0.489  -0.01

=====

Record 2
Here is Co4CuSe8 after structural relaxation from Alexandria via LeMat-Bulk. Energies are from PBE-GGA.

Output
Its space-group type is F-43m, No. 216. As for the crystal system: cubic. The size of the total moment is 0.0 μB per cell.

Unit cell a=7.043 b=7.043 c=7.043 alpha=60.00 beta=60.00 gamma=60.00
Fractional coordinates of all 13 atoms:
Co: 0.884 0.372 0.372
Co: 0.372 0.884 0.372
Co: 0.372 0.372 0.884
Co: 0.372 0.372 0.372
Cu: 0.750 0.750 0.750
Se: 0.593 0.136 0.136
Se: 0.136 0.593 0.136
Se: 0.136 0.136 0.593
Se: 0.136 0.136 0.136
Se: 0.162 0.613 0.613
Se: 0.613 0.162 0.613
Se: 0.613 0.613 0.162
Se: 0.613 0.613 0.613

=====

Record 3
Here is Co2CuSe after structural relaxation from Alexandria via LeMat-Bulk. Energies are from PBE-GGA.

Output
Its space-group type is Pmm2, No. 25. As for the crystal system: orthorhombic. The size of the total moment is 3.2 μB per cell.

Unit cell a=2.924 b=3.376 c=5.320 alpha=90.00 beta=90.00 gamma=90.00
Each line ends with the local moment (μB).
Fractional coordinates of all 4 atoms:
Co: 0.000 0.000 0.012  1.46
Co: 0.500 0.500 0.234  1.64
Cu: 0.000 0.000 0.475  0.07
Se: 0.500 0.500 0.778  0.05

=====

Record 4
Here is Co2CuSe after structural relaxation from Alexandria via LeMat-Bulk. Energies are from PBE-GGA.

Output
Its space-group type is I-4m2, No. 119. As for the crystal system: tetragonal. The size of the total moment is 2.8 μB per cell.

Unit cell a=4.635 b=4.635 c=4.635 alpha=134.11 beta=134.11 gamma=66.92
Each line ends with the local moment (μB).
Fractional coordinates of all 4 atoms:
Co: 0.000 0.000 0.000  1.48
Co: 0.250 0.750 0.500  1.34
Cu: 0.500 0.500 0.000  0.06
Se: 0.750 0.250 0.500  0.04

=====

Record 5
Here is Co3CuSe after structural relaxation from Alexandria via LeMat-Bulk. Energies are from PBE-GGA.

Output
Its space-group type is Pm-3m, No. 221. As for the crystal system: cubic. The size of the total moment is 3.9 μB per cell.

Unit cell a=4.305 b=4.305 c=4.305 alpha=90.00 beta=90.00 gamma=90.00
Each line ends with the local moment (μB).
Fractional coordinates of all 5 atoms:
Co: 0.000 0.500 0.000  1.37
Co: 0.000 0.000 0.500  1.03
Co: 0.500 0.000 0.000  1.68
Cu: 0.500 0.500 0.500  0.02
Se: 0.000 0.000 0.000  0.02

=====

Record 6
Here is CoCu2Se4 after structural relaxation from Alexandria via LeMat-Bulk. Energies are from PBE-GGA.

Output
Its space-group type is Imma, No. 74. As for the crystal system: orthorhombic. The size of the total moment is 0.0 μB per cell.

Unit cell a=7.153 b=7.232 c=7.232 alpha=59.48 beta=60.36 gamma=60.36
Fractional coordinates of all 14 atoms:
Co: 0.000 0.500 0.000
Co: 0.500 0.500 0.000
Se: 0.255 0.273 0.217
Se: 0.255 0.717 0.773
Se: 0.244 0.270 0.770
Se: 0.716 0.270 0.770
Se: 0.284 0.730 0.230
Se: 0.745 0.283 0.227
Se: 0.756 0.730 0.230
Se: 0.745 0.727 0.783
Cu: 0.122 0.128 0.628
Cu: 0.500 0.000 0.000
Cu: 0.500 0.500 0.500
Cu: 0.878 0.872 0.372

=====

Record 7
Here is Co2CuSe after structural relaxation from Alexandria via LeMat-Bulk. Energies are from PBE-GGA.

Output
Its space-group type is P4/mmm, No. 123. As for the crystal system: tetragonal. The size of the total moment is 2.8 μB per cell.

Unit cell a=3.930 b=3.930 c=3.237 alpha=89.97 beta=89.97 gamma=89.98
Each line ends with the local moment (μB).
Fractional coordinates of all 4 atoms:
Co: 0.000 0.000 0.000  1.34
Co: 0.500 0.500 0.000  1.34
Cu: 0.500 0.000 0.500  0.13
Se: 0.000 0.500 0.500  0.07

=====

Record 8
Here is Co4CuSe after structural relaxation from Alexandria via LeMat-Bulk. Energies are from PBE-GGA.

Output
Its space-group type is F-43m, No. 216. As for the crystal system: cubic. The size of the total moment is 6.8 μB per cell.

Unit cell a=4.789 b=4.789 c=4.789 alpha=60.00 beta=60.00 gamma=60.00
Each line ends with the local moment (μB).
Fractional coordinates of all 6 atoms:
Co: 0.874 0.375 0.375  1.73
Co: 0.375 0.375 0.874  1.73
Co: 0.375 0.874 0.375  1.73
Co: 0.375 0.375 0.375  1.73
Cu: 0.750 0.750 0.750  0.01
Se: 0.000 0.000 0.000  0.06

=====

Number 1: formation energy without anion corrections 0.2644 eV per atom, density of states at the Fermi level 3.37 states/eV per cell. Number 2: formation energy without anion corrections -0.2922 eV per atom, density of states at the Fermi level 8.43 states/eV per cell. Number 3: formation energy without anion corrections 0.2579 eV per atom, density of states at the Fermi level 4.24 states/eV per cell. Number 4: formation energy without anion corrections 0.2932 eV per atom, density of states at the Fermi level 4.01 states/eV per cell. Number 5: formation energy without anion corrections 0.7955 eV per atom, density of states at the Fermi level 15.13 states/eV per cell. Number 6: formation energy without anion corrections -0.1712 eV per atom, density of states at the Fermi level 10.31 states/eV per cell. Number 7: formation energy without anion corrections 0.2606 eV per atom, density of states at the Fermi level 3.96 states/eV per cell. Number 8: formation energy without anion corrections 0.3898 eV per atom, density of states at the Fermi level 5.88 states/eV per cell.